<one>
Here is BaTaCl at its PBEsol-relaxed geometry from Alexandria via LeMat-Bulk. Energies are from meta-GGA SCAN.

The structure in CIF format:
```
data_BaTaCl
_chemical_formula_sum 'Ba4 Ta4 Cl4'
_cell_length_a 7.1127
_cell_length_b 7.1127
_cell_length_c 7.1127
_cell_angle_alpha 90.00
_cell_angle_beta 90.00
_cell_angle_gamma 90.00
_space_group_name_H-M_alt 'F -4 3 m'
_space_group_IT_number 216
_space_group_name_Hall 'F -4 2 3'
loop_
_atom_site_label
_atom_site_type_symbol
_atom_site_fract_x
_atom_site_fract_y
_atom_site_fract_z
Ba1 Ba 0.0000 0.0000 0.0000
Ta1 Ta 0.0000 0.0000 0.5000
Cl1 Cl 0.2500 0.2500 0.7500
```

***

<two>
Here is BaTaCl at its PBEsol-relaxed geometry from Alexandria via LeMat-Bulk. Energies are from meta-GGA SCAN.

The structure in CIF format:
```
data_BaTaCl
_chemical_formula_sum 'Ba4 Ta4 Cl4'
_cell_length_a 7.7537
_cell_length_b 7.7537
_cell_length_c 7.7537
_cell_angle_alpha 90.00
_cell_angle_beta 90.00
_cell_angle_gamma 90.00
_space_group_name_H-M_alt 'F -4 3 m'
_space_group_IT_number 216
_space_group_name_Hall 'F -4 2 3'
loop_
_atom_site_label
_atom_site_type_symbol
_atom_site_fract_x
_atom_site_fract_y
_atom_site_fract_z
Ba1 Ba 0.0000 0.0000 0.0000
Ta1 Ta 0.2500 0.2500 0.7500
Cl1 Cl 0.2500 0.2500 0.2500
```

***

The structure with the least stability is <two>.

***

<one>
Here is BaTc2Cl at its PBEsol-relaxed geometry from Alexandria via LeMat-Bulk. Energies are from meta-GGA SCAN.

The structure in CIF format:
```
data_BaTc2Cl
_chemical_formula_sum 'Ba1 Tc2 Cl1'
_cell_length_a 3.1761
_cell_length_b 3.1761
_cell_length_c 8.1708
_cell_angle_alpha 90.00
_cell_angle_beta 90.00
_cell_angle_gamma 90.00
_space_group_name_H-M_alt 'P 4 m m'
_space_group_IT_number 99
_space_group_name_Hall 'P 4 -2'
loop_
_atom_site_label
_atom_site_type_symbol
_atom_site_fract_x
_atom_site_fract_y
_atom_site_fract_z
Ba1 Ba 0.0000 0.0000 0.0000
Tc1 Tc 0.0000 0.0000 0.5447
Tc2 Tc 0.5000 0.5000 0.6870
Cl1 Cl 0.5000 0.5000 0.2623
```

***

<two>
Here is BaTc2Cl at its PBEsol-relaxed geometry from Alexandria via LeMat-Bulk. Energies are from meta-GGA SCAN.

The structure in CIF format:
```
data_BaTc2Cl
_chemical_formula_sum 'Ba1 Tc2 Cl1'
_cell_length_a 4.3912
_cell_length_b 3.2579
_cell_length_c 6.3962
_cell_angle_alpha 90.00
_cell_angle_beta 90.07
_cell_angle_gamma 90.00
_space_group_name_H-M_alt 'P 1 2/m 1'
_space_group_IT_number 10
_space_group_name_Hall '-P 2y'
loop_
_atom_site_label
_atom_site_type_symbol
_atom_site_fract_x
_atom_site_fract_y
_atom_site_fract_z
Ba1 Ba 0.0000 0.0000 0.0000
Tc1 Tc 0.0000 0.5000 0.5000
Tc2 Tc 0.5000 0.0000 0.5000
Cl1 Cl 0.5000 0.5000 0.0000
```

***

The structure with the least stability is <two>.

***

<one>
Here is Ba2TcCl at its PBEsol-relaxed geometry from Alexandria via LeMat-Bulk. Energies are from meta-GGA SCAN.

The structure in CIF format:
```
data_Ba2TcCl
_chemical_formula_sum 'Ba2 Tc1 Cl1'
_cell_length_a 4.4507
_cell_length_b 4.4507
_cell_length_c 6.0517
_cell_angle_alpha 90.00
_cell_angle_beta 90.00
_cell_angle_gamma 90.00
_space_group_name_H-M_alt 'P 4/m m m'
_space_group_IT_number 123
_space_group_name_Hall '-P 4 2'
loop_
_atom_site_label
_atom_site_type_symbol
_atom_site_fract_x
_atom_site_fract_y
_atom_site_fract_z
Ba1 Ba 0.0000 0.0000 0.0000
Ba2 Ba 0.5000 0.5000 0.5000
Tc1 Tc 0.0000 0.0000 0.5000
Cl1 Cl 0.5000 0.5000 0.0000
```

***

<two>
Here is Ba2TcCl at its PBEsol-relaxed geometry from Alexandria via LeMat-Bulk. Energies are from meta-GGA SCAN.

The structure in CIF format:
```
data_Ba2TcCl
_chemical_formula_sum 'Ba8 Tc4 Cl4'
_cell_length_a 7.6569
_cell_length_b 7.6569
_cell_length_c 7.6569
_cell_angle_alpha 90.00
_cell_angle_beta 90.00
_cell_angle_gamma 90.00
_space_group_name_H-M_alt 'F -4 3 m'
_space_group_IT_number 216
_space_group_name_Hall 'F -4 2 3'
loop_
_atom_site_label
_atom_site_type_symbol
_atom_site_fract_x
_atom_site_fract_y
_atom_site_fract_z
Ba1 Ba 0.0000 0.0000 0.0000
Ba2 Ba 0.2500 0.2500 0.2500
Tc1 Tc 0.0000 0.0000 0.5000
Cl1 Cl 0.2500 0.2500 0.7500
```

***

The structure with the least stability is <two>.

***

<one>
Here is Ba2TlCl at its PBEsol-relaxed geometry from Alexandria via LeMat-Bulk. Energies are from meta-GGA SCAN.

The structure in CIF format:
```
data_Ba2TlCl
_chemical_formula_sum 'Ba2 Tl1 Cl1'
_cell_length_a 4.1946
_cell_length_b 4.0788
_cell_length_c 9.0148
_cell_angle_alpha 90.00
_cell_angle_beta 90.07
_cell_angle_gamma 90.00
_space_group_name_H-M_alt 'P 1 2/m 1'
_space_group_IT_number 10
_space_group_name_Hall '-P 2y'
loop_
_atom_site_label
_atom_site_type_symbol
_atom_site_fract_x
_atom_site_fract_y
_atom_site_fract_z
Ba1 Ba 0.0005 0.0000 0.2326
Tl1 Tl 0.5000 0.5000 0.0000
Cl1 Cl 0.0000 0.5000 0.5000
```

***

<two>
Here is Ba2TlCl at its PBEsol-relaxed geometry from Alexandria via LeMat-Bulk. Energies are from meta-GGA SCAN.

The structure in CIF format:
```
data_Ba2TlCl
_chemical_formula_sum 'Ba2 Tl1 Cl1'
_cell_length_a 6.1371
_cell_length_b 6.1371
_cell_length_c 4.0100
_cell_angle_alpha 90.00
_cell_angle_beta 90.00
_cell_angle_gamma 90.00
_space_group_name_H-M_alt 'P 4/m m m'
_space_group_IT_number 123
_space_group_name_Hall '-P 4 2'
loop_
_atom_site_label
_atom_site_type_symbol
_atom_site_fract_x
_atom_site_fract_y
_atom_site_fract_z
Ba1 Ba 0.0000 0.5000 0.0000
Tl1 Tl 0.0000 0.0000 0.5000
Cl1 Cl 0.5000 0.5000 0.0000
```

***

<three>
Here is Ba2TlCl at its PBEsol-relaxed geometry from Alexandria via LeMat-Bulk. Energies are from meta-GGA SCAN.

The structure in CIF format:
```
data_Ba2TlCl
_chemical_formula_sum 'Ba4 Tl2 Cl2'
_cell_length_a 5.4178
_cell_length_b 4.0193
_cell_length_c 13.4464
_cell_angle_alpha 90.00
_cell_angle_beta 90.00
_cell_angle_gamma 90.00
_space_group_name_H-M_alt 'A m m 2'
_space_group_IT_number 38
_space_group_name_Hall 'A 2 -2'
loop_
_atom_site_label
_atom_site_type_symbol
_atom_site_fract_x
_atom_site_fract_y
_atom_site_fract_z
Ba1 Ba 0.0000 0.0000 0.0000
Ba2 Ba 0.5000 0.0000 0.2578
Tl1 Tl 0.5000 0.0000 0.5265
Cl1 Cl 0.0000 0.0000 0.7709
```

***

The structure with the least stability is <three>.

***

<one>
Here is Ba2YCl at its PBEsol-relaxed geometry from Alexandria via LeMat-Bulk. Energies are from meta-GGA SCAN.

The structure in CIF format:
```
data_Ba2YCl
_chemical_formula_sum 'Ba2 Y1 Cl1'
_cell_length_a 6.2593
_cell_length_b 6.2593
_cell_length_c 3.7967
_cell_angle_alpha 90.00
_cell_angle_beta 90.00
_cell_angle_gamma 90.00
_space_group_name_H-M_alt 'P 4/m m m'
_space_group_IT_number 123
_space_group_name_Hall '-P 4 2'
loop_
_atom_site_label
_atom_site_type_symbol
_atom_site_fract_x
_atom_site_fract_y
_atom_site_fract_z
Ba1 Ba 0.0000 0.5000 0.0000
Y1 Y 0.0000 0.0000 0.5000
Cl1 Cl 0.5000 0.5000 0.5000
```

***

<two>
Here is Ba2YCl at its PBEsol-relaxed geometry from Alexandria via LeMat-Bulk. Energies are from meta-GGA SCAN.

The structure in CIF format:
```
data_Ba2YCl
_chemical_formula_sum 'Ba2 Y1 Cl1'
_cell_length_a 3.7869
_cell_length_b 3.7869
_cell_length_c 10.3798
_cell_angle_alpha 90.00
_cell_angle_beta 90.00
_cell_angle_gamma 90.00
_space_group_name_H-M_alt 'P 4/m m m'
_space_group_IT_number 123
_space_group_name_Hall '-P 4 2'
loop_
_atom_site_label
_atom_site_type_symbol
_atom_site_fract_x
_atom_site_fract_y
_atom_site_fract_z
Ba1 Ba 0.0000 0.0000 0.2088
Y1 Y 0.5000 0.5000 0.5000
Cl1 Cl 0.5000 0.5000 0.0000
```

***

The structure with the least stability is <one>.

***

<one>
Here is BaYCl2 at its PBEsol-relaxed geometry from Alexandria via LeMat-Bulk. Energies are from meta-GGA SCAN.

The structure in CIF format:
```
data_BaYCl2
_chemical_formula_sum 'Ba4 Y4 Cl8'
_cell_length_a 7.2543
_cell_length_b 7.2543
_cell_length_c 7.2543
_cell_angle_alpha 90.00
_cell_angle_beta 90.00
_cell_angle_gamma 90.00
_space_group_name_H-M_alt 'F m -3 m'
_space_group_IT_number 225
_space_group_name_Hall '-F 4 2 3'
loop_
_atom_site_label
_atom_site_type_symbol
_atom_site_fract_x
_atom_site_fract_y
_atom_site_fract_z
Ba1 Ba 0.0000 0.0000 0.0000
Y1 Y 0.0000 0.0000 0.5000
Cl1 Cl 0.2500 0.2500 0.2500
```

***

<two>
Here is BaYCl2 at its PBEsol-relaxed geometry from Alexandria via LeMat-Bulk. Energies are from meta-GGA SCAN.

The structure in CIF format:
```
data_BaYCl2
_chemical_formula_sum 'Ba2 Y2 Cl4'
_cell_length_a 3.6401
_cell_length_b 3.6992
_cell_length_c 19.4040
_cell_angle_alpha 90.00
_cell_angle_beta 90.00
_cell_angle_gamma 90.00
_space_group_name_H-M_alt 'I m m 2'
_space_group_IT_number 44
_space_group_name_Hall 'I 2 -2'
loop_
_atom_site_label
_atom_site_type_symbol
_atom_site_fract_x
_atom_site_fract_y
_atom_site_fract_z
Ba1 Ba 0.0000 0.0000 0.0000
Y1 Y 0.0000 0.5000 0.1807
Cl1 Cl 0.0000 0.0000 0.4196
Cl2 Cl 0.0000 0.5000 0.7415
```

***

<three>
Here is BaYCl2 at its PBEsol-relaxed geometry from Alexandria via LeMat-Bulk. Energies are from meta-GGA SCAN.

The structure in CIF format:
```
data_BaYCl2
_chemical_formula_sum 'Ba4 Y4 Cl8'
_cell_length_a 5.5597
_cell_length_b 5.5597
_cell_length_c 16.9463
_cell_angle_alpha 90.00
_cell_angle_beta 90.00
_cell_angle_gamma 90.00
_space_group_name_H-M_alt 'I -4 2 d'
_space_group_IT_number 122
_space_group_name_Hall 'I -4 2bw'
loop_
_atom_site_label
_atom_site_type_symbol
_atom_site_fract_x
_atom_site_fract_y
_atom_site_fract_z
Ba1 Ba 0.0000 0.0000 0.0000
Y1 Y 0.0000 0.0000 0.5000
Cl1 Cl 0.1490 0.2500 0.6250
```

***

The structure with the least stability is <one>.